Entry 1:
MnAlGa2 | GGA-PBE | relaxed

abc: 5.7597 5.7597 5.7597
angles: 102.38 102.38 124.84
With the nearest neighbours (Å) after each atom.
Positions (direct):
Mn 0.0000 0.0000 0.0000  4 Ga 2.61, 2 Al 2.67
Mn 0.7500 0.2500 0.5000  4 Ga 2.61, 2 Al 2.67
Al 0.2500 0.7500 0.5000  4 Ga 2.66, 2 Mn 2.67
Al 0.5000 0.5000 0.0000  4 Ga 2.66, 2 Mn 2.67
Ga 0.1196 0.6250 0.9946  2 Mn 2.61, 2 Al 2.66, 2 Ga 2.67
Ga 0.3750 0.3696 0.4946  2 Mn 2.61, 2 Al 2.66, 2 Ga 2.67
Ga 0.6304 0.1250 0.0054  2 Mn 2.61, 2 Al 2.66, 2 Ga 2.67
Ga 0.8750 0.8804 0.5054  2 Mn 2.61, 2 Al 2.66, 2 Ga 2.67

Energy   -4.501 eV per atom

Entry 2:
TlInTc | GGA-PBE | relaxed

abc: 3.1753 3.1753 7.2688
angles: 90.00 90.00 120.00
With the nearest neighbours (Å) after each atom.
Positions (direct):
Tl 0.0000 0.0000 0.0000  3 Tc 2.94, 6 Tl 3.18
In 0.6667 0.3333 0.3878  3 Tc 2.83
Tc 0.3333 0.6667 0.6839  3 In 2.83, 3 Tl 2.94

Energy   -4.585 eV per atom

Entry 3:
MnCuTc | GGA-PBE | relaxed

abc: 3.9710 3.9710 3.9710
angles: 60.00 60.00 60.00
With the nearest neighbours (Å) after each atom.
Positions (direct):
Mn 0.0000 0.0000 0.0000  4 Tc 2.43, 4 Cu 2.43
Cu 0.7500 0.7500 0.7500  4 Mn 2.43
Tc 0.2500 0.2500 0.2500  4 Mn 2.43

Energy   -7.287 eV per atom

Entry 4:
ZnHgIrPt2 | GGA-PBE | relaxed

abc: 4.6178 4.6178 4.6212
angles: 90.00 90.00 90.00
With the nearest neighbours (Å) after each atom.
Positions (direct):
Zn 0.0000 0.0000 0.0000  4 Pt 2.31, 2 Ir 2.31
Hg 0.5000 0.5000 0.5000  4 Ir 3.27, 8 Pt 3.27
Ir 0.0000 0.0000 0.5000  2 Zn 2.31
Pt 0.0000 0.5000 0.0000  2 Zn 2.31
Pt 0.5000 0.0000 0.0000  2 Zn 2.31

Energy   -3.582 eV per atom

Entry 5:
KSbI3 | GGA-PBE | relaxed

abc: 6.7524 6.7779 11.6260
angles: 88.45 89.38 89.28
With the nearest neighbours (Å) after each atom.
Positions (direct):
K 0.2490 0.2504 0.0042  6 I 3.51-3.72
K 0.7510 0.7496 0.9958  6 I 3.51-3.72
Sb 0.0805 0.5774 0.3910  2 I 2.79, 1 Sb 2.92
Sb 0.9195 0.4226 0.6090  2 I 2.79, 1 Sb 2.92
I 0.1478 0.1926 0.3185  1 Sb 2.79
I 0.2485 0.7461 0.0847  4 K 3.51-3.54, 1 Sb 3.87
I 0.3035 0.3638 0.6907  1 Sb 2.79
I 0.6965 0.6362 0.3093  1 Sb 2.79
I 0.7515 0.2539 0.9153  4 K 3.51-3.54, 1 Sb 3.87
I 0.8522 0.8074 0.6815  1 Sb 2.79

Energy relative to the elements, uncorrected   -16.354 kcal/mol of atoms

Entry 6:
DyMgCuSe3 | GGA-PBE | relaxed

abc: 7.8710 3.8771 8.7249
angles: 90.00 101.93 90.00
With the nearest neighbours (Å) after each atom.
Positions (direct):
Dy 0.1833 0.2500 0.2475  6 Se 2.90-2.98, 1 Cu 3.17
Dy 0.8167 0.7500 0.7525  6 Se 2.90-2.98, 1 Cu 3.17
Mg 0.3382 0.7500 0.8388  6 Se 2.68-2.79
Mg 0.6618 0.2500 0.1612  6 Se 2.68-2.79
Cu 0.0771 0.2500 0.5788  4 Se 2.46-2.55, 2 Cu 2.54
Cu 0.9229 0.7500 0.4212  4 Se 2.46-2.55, 2 Cu 2.54
Se 0.0909 0.2500 0.8636  1 Cu 2.46
Se 0.2520 0.7500 0.5125  3 Cu 2.51-2.55, 1 Mg 2.79
Se 0.4154 0.7500 0.1532  3 Mg 2.68-2.73, 2 Dy 2.90
Se 0.5846 0.2500 0.8468  3 Mg 2.68-2.73, 2 Dy 2.90
Se 0.7480 0.2500 0.4875  3 Cu 2.51-2.55, 1 Mg 2.79
Se 0.9091 0.7500 0.1364  1 Cu 2.46

Energy relative to the elements, uncorrected   -28.124 kcal/mol of atoms

Entry 7:
BaScP2 | GGA-PBE | relaxed

abc: 7.6544 7.6544 7.6544
angles: 30.60 30.60 30.60
With the nearest neighbours (Å) after each atom.
Positions (direct):
Ba 0.0000 0.0000 0.0000  6 P 3.18-3.30
Sc 0.8279 0.8279 0.8279  6 P 2.70-2.73
P 0.2265 0.2265 0.2265  3 Sc 2.73
P 0.4324 0.4324 0.4324  3 Sc 2.70

Energy   -5.707 eV per atom

Entry 8:
Ga3Ag2Au4 | GGA-PBE | relaxed

abc: 8.7744 8.7744 7.1258
angles: 90.00 90.00 141.67
With the nearest neighbours (Å) after each atom.
Positions (direct):
Ga 0.0000 0.0000 0.0000  6 Au 2.62-2.79
Ga 0.0095 0.4905 0.2500  5 Au 2.58-2.79, 2 Ga 2.88
Ga 0.4905 0.0095 0.7500  5 Au 2.58-2.79, 2 Ga 2.88
Ga 0.5000 0.5000 0.5000  6 Au 2.62-2.79
Ga 0.5095 0.9905 0.2500  5 Au 2.58-2.79, 2 Ga 2.88
Ga 0.9905 0.5095 0.7500  5 Au 2.58-2.79, 2 Ga 2.88
Ag 0.0742 0.9258 0.3796  5 Au 2.88-3.04, 1 Ga 2.97, 1 Ag 3.00
Ag 0.4258 0.5742 0.8796  5 Au 2.88-3.04, 1 Ga 2.97, 1 Ag 3.00
Ag 0.5742 0.4258 0.1204  5 Au 2.88-3.04, 1 Ga 2.97, 1 Ag 3.00
Ag 0.9258 0.0742 0.6204  5 Au 2.88-3.04, 1 Ga 2.97, 1 Ag 3.00
Au 0.1674 0.8326 0.0390  5 Ga 2.58-2.79, 1 Ag 2.88
Au 0.1729 0.3271 0.2500  3 Ga 2.62-2.71, 4 Au 2.88-2.92
Au 0.3271 0.1729 0.7500  3 Ga 2.62-2.71, 4 Au 2.88-2.92
Au 0.3326 0.6674 0.5390  5 Ga 2.58-2.79, 1 Ag 2.88
Au 0.6674 0.3326 0.4610  5 Ga 2.58-2.79, 1 Ag 2.88
Au 0.6729 0.8271 0.2500  3 Ga 2.62-2.71, 4 Au 2.88-2.92
Au 0.8271 0.6729 0.7500  3 Ga 2.62-2.71, 4 Au 2.88-2.92
Au 0.8326 0.1674 0.9610  5 Ga 2.58-2.79, 1 Ag 2.88

Energy   -3.207 eV per atom

Entry 9:
BaAuSe | GGA-PBE | relaxed

abc: 5.1796 5.1796 5.1796
angles: 60.00 60.00 60.00
With the nearest neighbours (Å) after each atom.
Positions (direct):
Ba 0.0000 0.0000 0.0000  4 Au 3.17
Au 0.2500 0.2500 0.2500  4 Se 3.17, 4 Ba 3.17
Se 0.5000 0.5000 0.5000  4 Au 3.17

Energy relative to the elements, uncorrected   -18.458 kcal/mol of atoms

Entry 10:
BeCr2Re | GGA-PBE | relaxed

abc: 5.1771 5.1771 5.1771
angles: 100.74 100.74 128.85
With the nearest neighbours (Å) after each atom.
Positions (direct):
Be 0.0000 0.0000 0.0000  4 Cr 2.14, 2 Re 2.24
Be 0.7500 0.2500 0.5000  4 Cr 2.14, 2 Re 2.24
Cr 0.0629 0.6250 0.9379  2 Be 2.14, 2 Cr 2.38
Cr 0.3750 0.3129 0.4379  2 Be 2.14, 2 Cr 2.38
Cr 0.6871 0.1250 0.0621  2 Be 2.14, 2 Cr 2.38
Cr 0.8750 0.9371 0.5621  2 Be 2.14, 2 Cr 2.38
Re 0.2500 0.7500 0.5000  2 Be 2.24
Re 0.5000 0.5000 0.0000  2 Be 2.24

Energy   -8.164 eV per atom

Entry 11:
GdPu2Si | GGA-PBE | relaxed

abc: 5.1470 5.1470 5.1470
angles: 60.00 60.00 60.00
With the nearest neighbours (Å) after each atom.
Positions (direct):
Gd 0.0000 0.0000 0.0000  8 Pu 3.15
Pu 0.2500 0.2500 0.2500  4 Si 3.15, 4 Gd 3.15
Pu 0.7500 0.7500 0.7500  4 Gd 3.15, 4 Si 3.15
Si 0.5000 0.5000 0.5000  8 Pu 3.15

Energy relative to the elements, uncorrected   1.682 kcal/mol of atoms

Entry 12:
AlSe2F | GGA-PBE | relaxed

abc: 6.9945 6.9945 6.9945
angles: 131.12 131.12 71.63
With the nearest neighbours (Å) after each atom.
Positions (direct):
Al 0.0000 0.0000 0.0000  4 Se 2.42
Al 0.7500 0.2500 0.5000  4 Se 2.42
Se 0.1029 0.6250 0.9779  2 Al 2.42, 2 F 2.57
Se 0.3750 0.3529 0.4779  2 Al 2.42, 2 F 2.57
Se 0.6471 0.1250 0.0221  2 Al 2.42, 2 F 2.57
Se 0.8750 0.8971 0.5221  2 Al 2.42, 2 F 2.57
F 0.2500 0.7500 0.5000  4 Se 2.57
F 0.5000 0.5000 0.0000  4 Se 2.57

Energy relative to the elements, uncorrected   -10.661 kcal/mol of atoms

| no. | V (Å³ per cell) |
| --- | --- |
| 1 | 139.00 |
| 2 | 63.47 |
| 3 | 44.28 |
| 4 | 98.54 |
| 5 | 531.82 |
| 6 | 260.51 |
| 7 | 103.04 |
| 8 | 340.22 |
| 9 | 98.26 |
| 10 | 97.48 |
| 11 | 96.41 |
| 12 | 190.03 |